No. 1
# La2PmI (PBE-GGA, relaxed)
# M_tot: 0.0 μB per formula unit
# DOS(E_F): 4.31 states/eV/cell
# raw total energy: -0.16281 Ha/atom
# energy above the lowest structure with this stoichiometry: 41 meV per atom
# raw formation energy: -391 meV/atom
# V: 141 Å³/f.u.
data_La2PmI
_cell_length_a 3.7729
_cell_length_b 3.7729
_cell_length_c 9.9038
_cell_angle_alpha 90.00
_cell_angle_beta 90.00
_cell_angle_gamma 90.00
_space_group_name_H-M_alt 'P 4/m m m'
_space_group_IT_number 123
_space_group_name_Hall '-P 4 2'
loop_
_atom_site_label
_atom_site_type_symbol
_atom_site_fract_x
_atom_site_fract_y
_atom_site_fract_z
_atom_site_occupancy
La1 La 0.0000 0.0000 0.2411 1
Pm1 Pm 0.5000 0.5000 0.5000 1
I1 I 0.5000 0.5000 0.0000 1

No. 2
# Sm2ThPd3 (PBE-GGA, relaxed)
# M_tot: 0.0 μB per formula unit
# DOS(E_F): 9.74 states/eV/cell
# energy of formation from the pure elements: -0.744 eV/atom
# raw total energy: -0.22600 Ha/atom
# energy above the lowest structure with this stoichiometry: 0 meV per atom
# V: 141 Å³/f.u.
data_Sm2ThPd3
_cell_length_a 5.0312
_cell_length_b 15.3472
_cell_length_c 3.6543
_cell_angle_alpha 90.00
_cell_angle_beta 90.00
_cell_angle_gamma 90.00
_space_group_name_H-M_alt 'P m m n'
_space_group_IT_number 59
loop_
_space_group_symop_operation_xyz
'x,y,z'
'-x,-y,-z'
'-x+1/2,-y+1/2,z'
'x+1/2,y+1/2,-z'
'x+1/2,-y,-z'
'-x+1/2,y,z'
'-x,y+1/2,-z'
'x,-y+1/2,z'
loop_
_atom_site_label
_atom_site_type_symbol
_atom_site_fract_x
_atom_site_fract_y
_atom_site_fract_z
_atom_site_occupancy
Sm1 Sm 0.2500 0.0769 0.0030 1
Th1 Th 0.2500 0.7500 0.9971 1
Pd1 Pd 0.2500 0.2500 0.5031 1
Pd2 Pd 0.2500 0.5973 0.4974 1

No. 3
# MnNbGa (PBE-GGA, relaxed)
# M_tot: 1.3 μB per formula unit
# DOS(E_F): 4.54 states/eV/cell
# energy of formation from the pure elements: -0.119 eV/atom
# raw total energy: -0.27714 Ha/atom
# V: 45 Å³/f.u.
data_MnNbGa
_cell_length_a 3.2136
_cell_length_b 3.2136
_cell_length_c 8.7078
_cell_angle_alpha 90.00
_cell_angle_beta 90.00
_cell_angle_gamma 90.00
_space_group_name_H-M_alt 'I 4 m m'
_space_group_IT_number 107
_space_group_name_Hall 'I 4 -2'
loop_
_atom_site_label
_atom_site_type_symbol
_atom_site_fract_x
_atom_site_fract_y
_atom_site_fract_z
_atom_site_occupancy
Mn1 Mn 0.0000 0.0000 0.0000 1
Nb1 Nb 0.0000 0.0000 0.6567 1
Ga1 Ga 0.0000 0.0000 0.3406 1

No. 4
# K3OsBr7 (PBE-GGA, relaxed)
# M_tot: 2.0 μB per formula unit
# DOS(E_F): 12.17 states/eV/cell
# raw total energy: -0.12296 Ha/atom
# raw formation energy: -961 meV/atom
# V: 398 Å³/f.u.
data_K3OsBr7
_cell_length_a 9.7153
_cell_length_b 10.4495
_cell_length_c 8.0475
_cell_angle_alpha 90.00
_cell_angle_beta 103.24
_cell_angle_gamma 90.00
_space_group_name_H-M_alt 'C 1 m 1'
_space_group_IT_number 8
loop_
_space_group_symop_operation_xyz
'x,y,z'
'x,-y,z'
'x+1/2,y+1/2,z'
'x+1/2,-y+1/2,z'
loop_
_atom_site_label
_atom_site_type_symbol
_atom_site_fract_x
_atom_site_fract_y
_atom_site_fract_z
_atom_site_occupancy
K1 K 0.0000 0.0000 0.0000 1
K2 K 0.0082 0.2820 0.5534 1
Os1 Os 0.4797 0.0000 0.0473 1
Br1 Br 0.1314 0.3277 0.2086 1
Br2 Br 0.1376 0.5000 0.8392 1
Br3 Br 0.3253 0.1689 0.8753 1
Br4 Br 0.3270 0.0000 0.2673 1
Br5 Br 0.4143 0.5000 0.5900 1

No. 5
# K2NaBP (PBE-GGA, relaxed)
# M_tot: 2.9 μB per formula unit
# DOS(E_F): 4.79 states/eV/cell
# energy of formation from the pure elements: 0.977 eV/atom
# raw total energy: -0.07875 Ha/atom
# V: 166 Å³/f.u.
data_K2NaBP
_cell_length_a 5.6921
_cell_length_b 5.6921
_cell_length_c 5.1202
_cell_angle_alpha 90.00
_cell_angle_beta 90.00
_cell_angle_gamma 90.00
_space_group_name_H-M_alt 'P 4/m m m'
_space_group_IT_number 123
_space_group_name_Hall '-P 4 2'
loop_
_atom_site_label
_atom_site_type_symbol
_atom_site_fract_x
_atom_site_fract_y
_atom_site_fract_z
_atom_site_occupancy
K1 K 0.0000 0.5000 0.0000 1
Na1 Na 0.0000 0.0000 0.5000 1
B1 B 0.0000 0.0000 0.0000 1
P1 P 0.5000 0.5000 0.5000 1

No. 6
# Nd2AuS (PBE-GGA, relaxed)
# M_tot: 0.0 μB per formula unit
# DOS(E_F): 9.15 states/eV/cell
# raw total energy: -0.20350 Ha/atom
# energy above the lowest structure with this stoichiometry: 86 meV per atom
# raw formation energy: -1302 meV/atom
# V: 105 Å³/f.u.
data_Nd2AuS
_cell_length_a 4.0326
_cell_length_b 4.0326
_cell_length_c 22.4015
_cell_angle_alpha 90.00
_cell_angle_beta 90.00
_cell_angle_gamma 120.00
_space_group_name_H-M_alt 'R 3 m'
_space_group_IT_number 160
_space_group_name_Hall 'R 3 -2"'
loop_
_atom_site_label
_atom_site_type_symbol
_atom_site_fract_x
_atom_site_fract_y
_atom_site_fract_z
_atom_site_occupancy
Nd1 Nd 0.0000 0.0000 0.0000 1
Nd2 Nd 0.0000 0.0000 0.1814 1
Au1 Au 0.0000 0.0000 0.7580 1
S1 S 0.0000 0.0000 0.5889 1